1.
# Mg3HW, optimized geometry, DFT PBE
# Polymorph energy (0 for the lowest one), meV per atom: 0
# Magnetic moment, Bohr magnetons per cell: 0.00
# DOS at the Fermi energy, states/eV per atom: 0.6222
# ρ, g cm⁻³: 5.695
data_Mg3HW
_chemical_formula_sum 'Mg3 H1 W1'
_cell_length_a 4.220
_cell_length_b 4.220
_cell_length_c 4.220
_cell_angle_alpha 90.00
_cell_angle_beta 90.00
_cell_angle_gamma 90.00
_space_group_name_H-M_alt 'P m -3 m'
_space_group_IT_number 221
_space_group_name_Hall '-P 4 2 3'
loop_
_atom_site_label
_atom_site_fract_x
_atom_site_fract_y
_atom_site_fract_z
_atom_site_occupancy
Mg1 0.000 0.000 0.500 1
H1 0.000 0.000 0.000 1
W1 0.500 0.500 0.500 1

2.
# MgHW, optimized geometry, DFT PBE
# Polymorph energy (0 for the lowest one), meV per atom: 84
# Magnetic moment, Bohr magnetons per cell: 0.00
# DOS at the Fermi energy, states/eV per atom: 0.4201
# ρ, g cm⁻³: 9.419
data_MgHW
_chemical_formula_sum 'Mg1 H1 W1'
_cell_length_a 2.9638
_cell_length_b 2.9638
_cell_length_c 4.8469
_cell_angle_alpha 90.00
_cell_angle_beta 90.00
_cell_angle_gamma 120.00
_space_group_name_H-M_alt 'P 3 m 1'
_space_group_IT_number 156
loop_
_space_group_symop_operation_xyz
'x,y,z'
'-y,x-y,z'
'-x+y,-x,z'
'-y,-x,z'
'-x+y,y,z'
'x,x-y,z'
loop_
_atom_site_label
_atom_site_fract_x
_atom_site_fract_y
_atom_site_fract_z
_atom_site_occupancy
Mg1 0.0000 0.0000 0.0000 1
H1 0.6667 0.3333 0.6614 1
W1 0.3333 0.6667 0.4836 1

3.
# MgH3W, optimized geometry, DFT PBE
# Polymorph energy (0 for the lowest one), meV per atom: 682
# Magnetic moment, Bohr magnetons per cell: 0.00
# DOS at the Fermi energy, states/eV per atom: 0.4566
# ρ, g cm⁻³: 8.578
data_MgH3W
_chemical_formula_sum 'Mg1 H3 W1'
_cell_length_a 3.445
_cell_length_b 3.445
_cell_length_c 3.445
_cell_angle_alpha 90.00
_cell_angle_beta 90.00
_cell_angle_gamma 90.00
_space_group_name_H-M_alt 'P m -3 m'
_space_group_IT_number 221
_space_group_name_Hall '-P 4 2 3'
loop_
_atom_site_label
_atom_site_fract_x
_atom_site_fract_y
_atom_site_fract_z
_atom_site_occupancy
Mg1 0.000 0.000 0.000 1
H1 0.000 0.000 0.500 1
W1 0.500 0.500 0.500 1

4.
# MgHW, optimized geometry, DFT PBE
# Polymorph energy (0 for the lowest one), meV per atom: 83
# Magnetic moment, Bohr magnetons per cell: 0.00
# DOS at the Fermi energy, states/eV per atom: 0.2449
# ρ, g cm⁻³: 9.165
data_MgHW
_chemical_formula_sum 'Mg2 H2 W2'
_cell_length_a 2.884
_cell_length_b 4.655
_cell_length_c 5.778
_cell_angle_alpha 89.93
_cell_angle_beta 77.98
_cell_angle_gamma 87.54
_space_group_name_H-M_alt 'P 1'
_space_group_IT_number 1
loop_
_space_group_symop_operation_xyz
'x,y,z'
loop_
_atom_site_label
_atom_site_fract_x
_atom_site_fract_y
_atom_site_fract_z
_atom_site_occupancy
Mg1 0.000 0.000 0.000 1
Mg2 0.352 0.523 0.259 1
H1 0.024 0.232 0.478 1
H2 0.142 0.492 0.943 1
W1 0.538 0.982 0.526 1
W2 0.731 0.505 0.729 1